1.
10
Lattice="7.945 0.000 0.000 0.000 7.945 0.000 0.000 0.000 3.071" Properties=species:S:1:pos:R:3 comment="PBE ScIn2Pd2, relaxed" sg="P4/mbm (127)" volume_a3_per_atom=19.39 dos_at_fermi_per_ev_cell=5.18 total_energy_ry_per_atom=-0.3593 pbc="T T T"
Sc 0.000 0.000 0.000
Sc 3.972 3.972 0.000
In 1.047 2.925 0.000
In 2.925 6.898 0.000
In 5.020 1.047 0.000
In 6.898 5.020 0.000
Pd 1.337 5.309 1.536
Pd 2.636 1.337 1.536
Pd 5.309 6.608 1.536
Pd 6.608 2.636 1.536



2.
5
Lattice="4.525 0.000 0.000 0.000 4.525 0.000 0.000 0.000 5.010" Properties=species:S:1:pos:R:3 comment="PBE CuBiP2Os, relaxed" sg="P4/mmm (123)" volume_a3_per_atom=20.52 dos_at_fermi_per_ev_cell=3.22 total_energy_ry_per_atom=-0.4009 pbc="T T T"
Cu 0.000 0.000 0.000
Bi 2.263 2.263 0.000
P 0.000 2.263 2.505
P 2.263 0.000 2.505
Os 0.000 0.000 2.505



3.
5
Lattice="7.737 0.000 0.000 0.000 7.737 0.000 0.000 0.000 5.538" Properties=species:S:1:pos:R:3 comment="PBE Cs2NaScBi, relaxed" sg="P4/mmm (123)" volume_a3_per_atom=66.30 dos_at_fermi_per_ev_cell=5.95 total_energy_ry_per_atom=-0.1798 pbc="T T T"
Cs 0.000 3.868 0.000
Cs 3.868 0.000 0.000
Na 0.000 0.000 2.769
Sc 3.868 3.868 0.000
Bi 3.868 3.868 2.769



4.
14
Lattice="7.103 -5.656 0.000 7.103 5.656 0.000 -4.893 0.000 16.358" Properties=species:S:1:pos:R:3 comment="PBE Cs5RbCd, relaxed" sg="C2/c (15)" volume_a3_per_atom=93.87 dos_at_fermi_per_ev_cell=14.00 total_energy_ry_per_atom=-0.0627 pbc="T T T"
Cs 3.433 5.256 12.268
Cs 0.392 1.825 10.174
Cs 0.718 1.992 15.355
Cs 2.839 -1.825 1.996
Cs 6.148 1.992 9.182
Cs 3.164 -1.992 7.176
Cs 6.474 1.825 14.362
Cs 8.595 -1.992 1.003
Cs 8.920 -1.825 6.183
Cs 5.879 -5.256 4.089
Rb 5.879 1.367 4.089
Rb 3.433 -1.367 12.268
Cd 0.000 0.000 0.000
Cd -2.446 0.000 8.179